(1)
Computed, not measured: Rb3ZnPb4 after structural relaxation at the GGA-PBE level of DFT.

```
Rb3ZnPb4
1.0
7.144 0.000 0.000
0.000 13.900 0.000
0.000 0.000 6.749
Rb Zn Pb
6 2 8
Direct
0.250 0.004 0.174 Rb
0.250 0.250 0.537 Rb
0.250 0.496 0.174 Rb
0.750 0.504 0.826 Rb
0.750 0.750 0.463 Rb
0.750 0.996 0.826 Rb
0.250 0.750 0.317 Zn
0.750 0.250 0.683 Zn
0.010 0.750 0.975 Pb
0.250 0.630 0.667 Pb
0.250 0.870 0.667 Pb
0.490 0.750 0.975 Pb
0.510 0.250 0.025 Pb
0.750 0.130 0.333 Pb
0.750 0.370 0.333 Pb
0.990 0.250 0.025 Pb
```

Results
**Formation energy**: -3.492 kcal/mol of atoms
**Space group**: Pmmn (59)
**Crystal system**: orthorhombic
**Calculated total energy**: -2.528 eV/atom
**Calculated volume**: 335.08 Å³/f.u.



(2)
Computed, not measured: Ta2CdHg after structural relaxation at the GGA-PBE level of DFT.

```
Ta2CdHg
1.0
5.054 -1.470 0.000
5.054 1.470 0.000
-1.002 0.000 5.296
Ta Cd Hg
2 1 1
Direct
0.000 0.000 0.000 Ta
0.730 0.730 0.188 Ta
0.489 0.489 0.482 Cd
0.247 0.247 0.705 Hg
```

Results
**ΔE to the lowest computed polymorph**: 211.2 meV/atom
**Formation energy**: 8.724 kcal/mol of atoms
**Space group**: Cm (8)
**Crystal system**: monoclinic
**Calculated total energy**: -5.852 eV/atom
**Calculated volume**: 78.67 Å³/f.u.



(3)
Computed, not measured: TbPr5Y12 after structural relaxation at the GGA-PBE level of DFT.

```
TbPr5Y12
1.0
9.385 -5.403 0.000
9.385 5.403 0.000
-2.073 0.000 5.902
Tb Pr Y
1 5 12
Direct
0.000 0.000 0.000 Tb
0.166 0.166 0.498 Pr
0.333 0.333 0.999 Pr
0.500 0.500 0.500 Pr
0.667 0.667 0.001 Pr
0.834 0.834 0.502 Pr
0.001 0.667 0.001 Y
0.165 0.501 0.499 Y
0.167 0.833 0.500 Y
0.331 0.669 0.000 Y
0.333 0.999 0.999 Y
0.499 0.835 0.501 Y
0.501 0.165 0.499 Y
0.667 0.001 0.001 Y
0.669 0.331 0.000 Y
0.833 0.167 0.500 Y
0.835 0.499 0.501 Y
0.999 0.333 0.999 Y
```

Results
**Formation energy**: 0.387 kcal/mol of atoms
**Space group**: C2/m (12)
**Crystal system**: monoclinic
**Calculated total energy**: -5.877 eV/atom
**Calculated volume**: 598.56 Å³/f.u.



(4)
Computed, not measured: TaVB4 after structural relaxation at the GGA-PBE level of DFT.

```
TaVB4
1.0
5.857 0.000 0.000
0.000 11.331 0.000
0.000 0.000 3.182
Ta V B
4 4 16
Direct
0.129 0.149 0.000 Ta
0.371 0.649 0.000 Ta
0.629 0.351 0.000 Ta
0.871 0.851 0.000 Ta
0.136 0.411 0.000 V
0.364 0.911 0.000 V
0.636 0.089 0.000 V
0.864 0.589 0.000 V
0.021 0.696 0.500 B
0.120 0.549 0.500 B
0.127 0.967 0.500 B
0.202 0.810 0.500 B
0.298 0.310 0.500 B
0.373 0.467 0.500 B
0.380 0.049 0.500 B
0.479 0.196 0.500 B
0.521 0.804 0.500 B
0.620 0.951 0.500 B
0.627 0.533 0.500 B
0.702 0.690 0.500 B
0.798 0.190 0.500 B
0.873 0.033 0.500 B
0.880 0.451 0.500 B
0.979 0.304 0.500 B
```

Results
**Formation energy**: -11.707 kcal/mol of atoms
**Space group**: Pbam (55)
**Crystal system**: orthorhombic
**Calculated total energy**: -8.455 eV/atom
**Calculated volume**: 52.79 Å³/f.u.